Record 1
An optimized crystal structure of Na2Cd5Hg12, computed with PBE-GGA.

Unit cell a=9.150 b=8.364 c=7.781 alpha=86.49 beta=90.00 gamma=123.16
Fractional coordinates of all 19 atoms:
Hg (0.609, 0.641, 0.779)
Hg (0.553, 0.105, 0.268)
Hg (0.833, 0.666, 0.105)
Hg (0.153, 0.789, 0.378)
Hg (0.447, 0.895, 0.732)
Hg (0.847, 0.211, 0.622)
Hg (0.364, 0.211, 0.622)
Hg (0.167, 0.334, 0.895)
Hg (0.391, 0.359, 0.221)
Hg (0.032, 0.641, 0.779)
Hg (0.968, 0.359, 0.221)
Hg (0.636, 0.789, 0.378)
Cd (0.256, 0.511, 0.520)
Cd (0.350, 0.700, 0.104)
Cd (0.000, 0.000, 0.500)
Cd (0.744, 0.489, 0.480)
Cd (0.650, 0.300, 0.896)
Na (0.221, 0.000, 0.000)
Na (0.779, 0.000, 0.000)

Its space-group type is C2/m (12). As for the density of states at the Fermi level: 4.67 states/eV per cell. The value obtained for the raw total energy is -11.7 eV for the cell shown. The calculation puts the size of the total moment at 0.00 μB per cell. The energy of formation from the pure elements is -0.044 eV per atom.

Record 2
An optimized crystal structure of Na3Cd2Hg, computed with PBE-GGA.

Unit cell a=6.401 b=6.261 c=8.777 alpha=96.67 beta=111.39 gamma=90.00
Fractional coordinates of all 12 atoms:
Hg (0.278, 0.250, 0.000)
Hg (0.722, 0.750, 0.000)
Na (0.731, 0.856, 0.640)
Na (0.269, 0.144, 0.360)
Na (0.217, 0.750, 0.000)
Na (0.091, 0.644, 0.360)
Na (0.783, 0.250, 0.000)
Na (0.909, 0.356, 0.640)
Cd (0.422, 0.475, 0.699)
Cd (0.722, 0.025, 0.301)
Cd (0.278, 0.975, 0.699)
Cd (0.578, 0.525, 0.301)

Its space-group type is C2/c (15). As for the density of states at the Fermi level: 4.85 states/eV per cell. The value obtained for the raw total energy is -13.5 eV for the cell shown. The calculation puts the size of the total moment at 0.00 μB per cell. The energy of formation from the pure elements is -0.112 eV per atom.

Record 3
An optimized crystal structure of Na2Cd5Hg12, computed with PBE-GGA.

Unit cell a=5.577 b=10.092 c=10.092 alpha=65.40 beta=73.73 gamma=73.73
Fractional coordinates of all 19 atoms:
Hg (0.597, 0.160, 0.644)
Hg (0.760, 0.581, 0.581)
Hg (0.033, 0.882, 0.882)
Hg (0.403, 0.840, 0.356)
Hg (0.802, 0.938, 0.459)
Hg (0.597, 0.644, 0.160)
Hg (0.967, 0.118, 0.118)
Hg (0.403, 0.356, 0.840)
Hg (0.240, 0.419, 0.419)
Hg (0.802, 0.459, 0.938)
Hg (0.198, 0.062, 0.541)
Hg (0.198, 0.541, 0.062)
Na (0.000, 0.767, 0.233)
Na (0.000, 0.233, 0.767)
Cd (0.406, 0.200, 0.200)
Cd (0.594, 0.800, 0.800)
Cd (0.171, 0.684, 0.684)
Cd (0.829, 0.316, 0.316)
Cd (0.500, 0.000, 0.000)

Its space-group type is C2/m (12). As for the density of states at the Fermi level: 4.63 states/eV per cell. The value obtained for the raw total energy is -11.9 eV for the cell shown. The calculation puts the size of the total moment at 0.00 μB per cell. The energy of formation from the pure elements is -0.054 eV per atom.

Record 4
An optimized crystal structure of Na3Cd4Hg, computed with PBE-GGA.

Unit cell a=5.283 b=3.308 c=12.350 alpha=89.90 beta=102.35 gamma=90.00
Fractional coordinates of all 8 atoms:
Hg (0.500, 0.000, 0.000)
Cd (0.397, 0.502, 0.795)
Cd (0.278, 0.499, 0.555)
Cd (0.603, 0.498, 0.205)
Cd (0.722, 0.501, 0.445)
Na (0.157, 0.000, 0.314)
Na (0.843, 0.000, 0.686)
Na (0.000, 0.500, 0.000)

Its space-group type is C2/m (12). As for the density of states at the Fermi level: 1.94 states/eV per cell. The value obtained for the raw total energy is -8.7 eV for the cell shown. The calculation puts the size of the total moment at 0.00 μB per cell. The energy of formation from the pure elements is -0.098 eV per atom.